Crystalline La2SnAs2 at its relaxed geometry, computed with PBE-GGA.

Summary:
- DOS at the Fermi energy: 3.469 states/eV/f.u.
- Density: 6.4 g/cm³
- Space group: No. 139
- DFT formation energy: -850 meV per atom

abc: 3.9981 3.9981 9.2523
angles: 77.52 77.52 90.00
Last column: nearest neighbours and their distance in Å.
Fractional positions:
Sn (0.0000, 0.0000, 0.0000)  8 La 3.47
As (0.2500, 0.7500, 0.5000)  4 As 2.83, 4 La 3.11
As (0.7500, 0.2500, 0.5000)  4 As 2.83, 4 La 3.11
La (0.3854, 0.3854, 0.2292)  4 As 3.11, 4 Sn 3.47
La (0.6146, 0.6146, 0.7708)  4 As 3.11, 4 Sn 3.47